Below is Cd2NiMo after structural relaxation, with properties calculated at the PBEsol level.

The calculation puts the calculated density at 9.77 g/cm3. Its offset from the most stable computed form is 0.0 meV/atom. For the energy of formation from the pure elements, the calculation gives 0.36 eV per atom. The total magnetization comes out at 0.00 μB per formula unit. As for the total energy: -4.721 eV/atom.

a b c (Å): 9.033 2.743 5.269
angles (deg): 90.00 98.73 90.00
Space group Cm (No. 8)
Asymmetric unit:
Cd 0.000 0.000 0.000
Cd 0.241 0.000 0.742
Ni 0.244 0.500 0.289
Mo 0.484 0.000 0.467